No. 1
! Pr2Nd3Sm7, optimized geometry, DFT PBE; values from VASP
&SYSTEM
  ibrav = 0, nat = 12, ntyp = 3
/
ATOMIC_SPECIES
Pr 140.91 Pr.upf
Nd 144.24 Nd.upf
Sm 150.36 Sm.upf
ATOMIC_POSITIONS crystal
Pr 0.500 0.614 0.329
Pr 0.500 0.386 0.671
Nd 0.500 0.500 0.000
Nd 0.000 0.112 0.339
Nd 0.000 0.888 0.661
Sm 0.500 0.243 0.501
Sm 0.500 0.757 0.499
Sm 0.000 0.562 0.165
Sm 0.000 0.000 0.000
Sm 0.000 0.438 0.835
Sm 0.500 0.940 0.834
Sm 0.500 0.060 0.166
CELL_PARAMETERS angstrom
-2.464 0.759 2.512
3.834 -2.603 4.548
10.316 14.085 5.860
! ΔE_f   7.0 kJ/mol of atoms
! Spin magnetization   0.000 μB per atom
! SG   P2/m, No. 10
! Energy above the lowest structure with this stoichiometry   0.000 eV per atom



No. 2
! Cs8BiAu2O, optimized geometry, DFT PBE; values from VASP
&SYSTEM
  ibrav = 0, nat = 12, ntyp = 4
/
ATOMIC_SPECIES
Cs 132.91 Cs.upf
Bi 208.98 Bi.upf
Au 196.97 Au.upf
O 16.00 O.upf
ATOMIC_POSITIONS crystal
Cs 0.154 0.795 0.203
Cs 0.723 0.777 0.999
Cs 0.844 0.204 0.202
Cs 0.846 0.205 0.797
Cs 0.277 0.223 0.001
Cs 0.156 0.796 0.798
Cs 0.634 0.721 0.500
Cs 0.366 0.279 0.500
Bi 0.000 0.000 0.500
Au 0.500 0.499 0.782
Au 0.500 0.501 0.218
O 0.000 0.000 0.000
CELL_PARAMETERS angstrom
-3.068 -3.409 -6.662
1.402 -7.579 3.180
-9.690 0.041 4.442
! Spin magnetization   0.001 μB per atom
! SG   P-1, No. 2
! Raw formation energy   -426.8 meV per atom



No. 3
! As2PbCl, optimized geometry, DFT PBE; values from VASP
&SYSTEM
  ibrav = 0, nat = 4, ntyp = 3
/
ATOMIC_SPECIES
Pb 207.20 Pb.upf
As 74.92 As.upf
Cl 35.45 Cl.upf
ATOMIC_POSITIONS crystal
Pb 0.000 0.500 0.500
As 0.000 0.000 0.000
As 0.500 0.500 0.000
Cl 0.500 0.000 0.500
CELL_PARAMETERS angstrom
6.979 0.017 -0.030
-4.720 5.141 -0.030
1.113 2.543 2.808
! Spin magnetization   0.000 μB per atom
! SG   C2/m, No. 12
! Raw formation energy   -33.0 meV per atom